(1)
## BaTlOs3 (PBE-GGA)

Data for crystalline BaTlOs3 at its relaxed geometry.

```
BaTlOs3
1.0
5.1897 0.0000 0.0000
0.0000 5.1897 0.0000
0.0000 0.0000 5.1897
Ba Tl Os
1 1 3
Direct
0.0000 0.0000 0.0000 Ba
0.5000 0.5000 0.5000 Tl
0.0000 0.0000 0.5000 Os
0.0000 0.5000 0.0000 Os
0.5000 0.0000 0.0000 Os
```

Calculated values
total magnetic moment	4.9	μB per formula unit

(2)
## Ba2Tl2Os (PBE-GGA)

Data for crystalline Ba2Tl2Os at its relaxed geometry.

```
Ba2Tl2Os
1.0
-2.0653 2.0653 10.4782
2.0653 -2.0653 10.4782
2.0653 2.0653 -10.4782
Ba Tl Os
2 2 1
Direct
0.0841 0.0841 0.0000 Ba
0.9159 0.9159 0.0000 Ba
0.2500 0.7500 0.5000 Tl
0.7500 0.2500 0.5000 Tl
0.5000 0.5000 0.0000 Os
```

Calculated values
total magnetic moment	0.0	μB per formula unit

Formation energy list, top to bottom, in eV per formula unit: 17.31; 2.67
E list, top to bottom, in eV/atom: -4.134; -3.428